DFT (PBE) results for BS after structural relaxation.

a = 6.1421 Å, b = 6.1421 Å, c = 6.1421 Å
α = 90.00°, β = 90.00°, γ = 90.00°
With the nearest neighbours (Å) after each atom.
Positions (direct):
1 S 0.3343 0.3343 0.3343  4 B 1.83-2.01
2 S 0.6657 0.3343 0.6657  4 B 1.83-2.01
3 S 0.8343 0.8343 0.8343  4 B 1.83-2.01
4 S 0.1657 0.8343 0.1657  4 B 1.83-2.01
5 S 0.8343 0.1657 0.1657  4 B 1.83-2.01
6 S 0.6657 0.6657 0.3343  4 B 1.83-2.01
7 S 0.1657 0.1657 0.8343  4 B 1.83-2.01
8 S 0.3343 0.6657 0.6657  4 B 1.83-2.01
9 B 0.6621 0.3379 0.3379  4 S 1.83-2.01
10 B 0.1621 0.1621 0.1621  4 S 1.83-2.01
11 B 0.3379 0.3379 0.6621  4 S 1.83-2.01
12 B 0.1621 0.8379 0.8379  4 S 1.83-2.01
13 B 0.3379 0.6621 0.3379  4 S 1.83-2.01
14 B 0.8379 0.1621 0.8379  4 S 1.83-2.01
15 B 0.6621 0.6621 0.6621  4 S 1.83-2.01
16 B 0.8379 0.8379 0.1621  4 S 1.83-2.01

Properties
calculated total energy	-4.700	eV/atom
N(E_F)	0.75	states/eV per atom
formation energy from raw total energies	0.703	eV/atom
volume	29	Å³/f.u.
SG	I-43m